No. 1
The following is a DFT calculation (PBE) of a geometry-optimized LaYZn2Pb2 structure.

Its total energy is -48.568 eV per cell. As for the distance to the lowest polymorph of the same formula: 0.00 eV per formula unit.

The structure belongs to space group P6_3/mmc (No. 194); the cell edges are 4.6447, 4.6447 and 16.6746 Å and the angles 90.00°, 90.00° and 120.00°. The distinct sites, in fractional coordinates, are La at (0.0000, 0.0000, 0.0000), Y at (0.0000, 0.0000, 0.2500), Zn at (0.3333, 0.6667, 0.1682) and Pb at (0.3333, 0.6667, 0.6162).

No. 2
The following is a DFT calculation (PBE) of a geometry-optimized SrNiHgTe3 structure.

Its total energy is -77.528 eV per cell. As for the distance to the lowest polymorph of the same formula: 0.51 eV per formula unit.

The structure belongs to space group Cmcm (No. 63); the cell edges are 4.0751, 14.4769 and 12.3385 Å and the angles 90.00°, 90.00° and 90.00°. The distinct sites, in fractional coordinates, are Sr at (0.0000, 0.1873, 0.2500), Ni at (0.0000, 0.0000, 0.0000), Hg at (0.0000, 0.4966, 0.2500), Te at (0.0000, 0.1409, 0.7500) and Te at (0.0000, 0.3953, 0.5462).

No. 3
The following is a DFT calculation (PBE) of a geometry-optimized ZnFeCuGe structure.

Its total energy is -68.452 eV per cell. As for the distance to the lowest polymorph of the same formula: 0.42 eV per formula unit.

The structure belongs to space group F-43m (No. 216); the cell edges are 5.8866, 5.8866 and 5.8866 Å and the angles 90.00°, 90.00° and 90.00°. The distinct sites, in fractional coordinates, are Zn at (0.0000, 0.0000, 0.0000), Fe at (0.0000, 0.0000, 0.5000), Cu at (0.2500, 0.2500, 0.7500) and Ge at (0.2500, 0.2500, 0.2500).

No. 4
The following is a DFT calculation (PBE) of a geometry-optimized Pr5Ga3 structure.

Its total energy is -146.242 eV per cell. As for the distance to the lowest polymorph of the same formula: 0.00 eV per formula unit.

The structure belongs to space group P4/ncc (No. 130, origin choice 2); the cell edges are 7.9506, 7.9506 and 14.6010 Å and the angles 90.00°, 90.00° and 90.00°. The distinct sites, in fractional coordinates, are Pr at (0.0654, 0.5901, 0.1028), Pr at (0.2500, 0.2500, 0.2189), Ga at (0.1315, 0.6315, 0.7500) and Ga at (0.2500, 0.2500, 0.0033).